No. 1
{"formula": "Ge3SbTe", "functional": "GGA-PBEsol", "state": "optimized geometry", "lattice": [[5.324, 0.000, 0.000], [0.000, 5.324, 0.000], [0.000, 0.000, 5.324]], "species": ["Ge", "Ge", "Ge", "Sb", "Te"], "fractional_positions": [[0.000, 0.000, 0.500], [0.000, 0.500, 0.000], [0.500, 0.000, 0.000], [0.500, 0.500, 0.500], [0.000, 0.000, 0.000]], "total_energy_ev_per_atom": -3.651, "m_tot_mub_per_atom": 0.000, "raw_formation_energy_ev_per_fu": 4.6, "spacegroup": "No. 221", "n_ef_per_ev_cell": 3.2}



No. 2
{"formula": "Ge2Sb2Te5", "functional": "GGA-PBEsol", "state": "optimized geometry", "lattice": [[6.678, -3.000, 0.000], [6.678, 3.000, 0.000], [-6.623, 0.000, 6.703]], "species": ["Ge", "Ge", "Sb", "Sb", "Te", "Te", "Te", "Te", "Te"], "fractional_positions": [[0.000, 0.000, 0.000], [0.602, 0.602, 0.381], [0.398, 0.398, 0.561], [0.770, 0.770, 0.152], [0.085, 0.085, 0.364], [0.278, 0.278, 0.147], [0.478, 0.478, 0.963], [0.689, 0.689, 0.757], [0.882, 0.882, 0.564]], "total_energy_ev_per_atom": -4.131, "m_tot_mub_per_atom": 0.000, "raw_formation_energy_ev_per_fu": -0.6, "spacegroup": "No. 8", "n_ef_per_ev_cell": 1.3}



No. 3
{"formula": "Ge2Sb2Te5", "functional": "GGA-PBEsol", "state": "optimized geometry", "lattice": [[4.226, 0.000, 0.000], [-2.113, 3.660, 0.000], [0.000, 0.000, 16.817]], "species": ["Ge", "Ge", "Sb", "Sb", "Te", "Te", "Te", "Te", "Te"], "fractional_positions": [[0.333, 0.667, 0.400], [0.667, 0.333, 0.600], [0.000, 0.000, 0.182], [0.000, 0.000, 0.818], [0.000, 0.000, 0.500], [0.333, 0.667, 0.080], [0.333, 0.667, 0.699], [0.667, 0.333, 0.301], [0.667, 0.333, 0.920]], "total_energy_ev_per_atom": -4.179, "m_tot_mub_per_atom": 0.000, "raw_formation_energy_ev_per_fu": -1.0, "spacegroup": "No. 164"}



No. 4
{"formula": "GeSb4Te7", "functional": "GGA-PBEsol", "state": "optimized geometry", "lattice": [[4.257, 0.000, 0.000], [-2.128, 3.687, 0.000], [0.000, 0.000, 23.341]], "species": ["Ge", "Sb", "Sb", "Sb", "Sb", "Te", "Te", "Te", "Te", "Te", "Te", "Te"], "fractional_positions": [[0.000, 0.000, 0.000], [0.333, 0.667, 0.584], [0.333, 0.667, 0.844], [0.667, 0.333, 0.156], [0.667, 0.333, 0.416], [0.000, 0.000, 0.229], [0.000, 0.000, 0.500], [0.000, 0.000, 0.771], [0.333, 0.667, 0.071], [0.333, 0.667, 0.342], [0.667, 0.333, 0.658], [0.667, 0.333, 0.929]], "total_energy_ev_per_atom": -4.106, "m_tot_mub_per_atom": 0.000, "raw_formation_energy_ev_per_fu": -1.4, "spacegroup": "No. 164", "n_ef_per_ev_cell": 0.0}



No. 5
{"formula": "GeSbTe2", "functional": "GGA-PBEsol", "state": "optimized geometry", "lattice": [[1.993, 1.151, 9.420], [-1.993, 1.151, 9.420], [0.000, -2.302, 9.420]], "species": ["Ge", "Sb", "Te", "Te"], "fractional_positions": [[0.000, 0.000, 0.000], [0.500, 0.500, 0.500], [0.099, 0.099, 0.099], [0.901, 0.901, 0.901]], "total_energy_ev_per_atom": -3.826, "m_tot_mub_per_atom": 0.000, "raw_formation_energy_ev_per_fu": 1.2, "spacegroup": "No. 166", "n_ef_per_ev_cell": 1.5}



No. 6
{"formula": "GeSb4Te4", "functional": "GGA-PBEsol", "state": "optimized geometry", "lattice": [[4.269, 0.000, 0.000], [-2.134, 3.697, 0.000], [0.000, 0.000, 16.985]], "species": ["Ge", "Sb", "Sb", "Sb", "Sb", "Te", "Te", "Te", "Te"], "fractional_positions": [[0.000, 0.000, 0.000], [0.333, 0.667, 0.213], [0.333, 0.667, 0.546], [0.667, 0.333, 0.454], [0.667, 0.333, 0.787], [0.000, 0.000, 0.314], [0.000, 0.000, 0.686], [0.333, 0.667, 0.903], [0.667, 0.333, 0.097]], "total_energy_ev_per_atom": -4.227, "m_tot_mub_per_atom": 0.000, "raw_formation_energy_ev_per_fu": -0.8, "spacegroup": "No. 164", "n_ef_per_ev_cell": 0.5}



No. 7
{"formula": "TlGe2SbTe", "functional": "GGA-PBEsol", "state": "optimized geometry", "lattice": [[5.269, 0.000, 0.000], [0.000, 5.269, 0.000], [0.000, 0.000, 5.896]], "species": ["Tl", "Ge", "Ge", "Sb", "Te"], "fractional_positions": [[0.000, 0.000, 0.000], [0.000, 0.500, 0.500], [0.500, 0.000, 0.500], [0.500, 0.500, 0.000], [0.000, 0.000, 0.500]], "total_energy_ev_per_atom": -3.305, "m_tot_mub_per_atom": 0.000, "raw_formation_energy_ev_per_fu": 4.1, "spacegroup": "No. 123", "n_ef_per_ev_cell": 2.8}



No. 8
{"formula": "TiGeSb", "functional": "GGA-PBEsol", "state": "optimized geometry", "lattice": [[3.673, 0.000, 0.000], [0.000, 3.673, 0.000], [0.000, 0.000, 8.146]], "species": ["Ti", "Ti", "Ge", "Ge", "Sb", "Sb"], "fractional_positions": [[0.250, 0.250, 0.247], [0.750, 0.750, 0.753], [0.250, 0.750, 0.000], [0.750, 0.250, 0.000], [0.250, 0.250, 0.616], [0.750, 0.750, 0.384]], "total_energy_ev_per_atom": -6.450, "m_tot_mub_per_atom": 0.000, "raw_formation_energy_ev_per_fu": -1.5, "spacegroup": "No. 129", "n_ef_per_ev_cell": 2.6}



No. 9
{"formula": "Tl2Ge2Sb", "functional": "GGA-PBEsol", "state": "optimized geometry", "lattice": [[-1.843, 1.843, 9.345], [1.843, -1.843, 9.345], [1.843, 1.843, -9.345]], "species": ["Tl", "Tl", "Ge", "Ge", "Sb"], "fractional_positions": [[0.109, 0.109, 0.000], [0.891, 0.891, 0.000], [0.250, 0.750, 0.500], [0.750, 0.250, 0.500], [0.500, 0.500, 0.000]], "total_energy_ev_per_atom": -3.736, "m_tot_mub_per_atom": 0.000, "raw_formation_energy_ev_per_fu": 1.0, "spacegroup": "No. 139", "n_ef_per_ev_cell": 2.8}



No. 10
{"formula": "Tm5Ge2Sb2", "functional": "GGA-PBEsol", "state": "optimized geometry", "lattice": [[7.367, -3.848, 0.000], [7.367, 3.848, 0.000], [0.000, 0.000, 7.716]], "species": ["Tm", "Tm", "Tm", "Tm", "Tm", "Tm", "Tm", "Tm", "Tm", "Tm", "Ge", "Ge", "Ge", "Ge", "Sb", "Sb", "Sb", "Sb"], "fractional_positions": [[0.000, 0.000, 0.000], [0.037, 0.709, 0.663], [0.209, 0.537, 0.163], [0.291, 0.963, 0.663], [0.463, 0.791, 0.163], [0.500, 0.500, 0.500], [0.537, 0.209, 0.837], [0.709, 0.037, 0.337], [0.791, 0.463, 0.837], [0.963, 0.291, 0.337], [0.139, 0.861, 0.362], [0.361, 0.639, 0.862], [0.639, 0.361, 0.138], [0.861, 0.139, 0.638], [0.205, 0.205, 0.000], [0.295, 0.295, 0.500], [0.705, 0.705, 0.500], [0.795, 0.795, 0.000]], "total_energy_ev_per_atom": -5.821, "m_tot_mub_per_atom": 0.000, "raw_formation_energy_ev_per_fu": -8.9, "spacegroup": "No. 64", "n_ef_per_ev_cell": 11.9}



No. 11
{"formula": "Ge3SbW", "functional": "GGA-PBEsol", "state": "optimized geometry", "lattice": [[5.071, 0.000, 0.000], [0.000, 5.071, 0.000], [0.000, 0.000, 5.071]], "species": ["Ge", "Ge", "Ge", "Sb", "W"], "fractional_positions": [[0.000, 0.000, 0.500], [0.000, 0.500, 0.000], [0.500, 0.000, 0.000], [0.000, 0.000, 0.000], [0.500, 0.500, 0.500]], "total_energy_ev_per_atom": -4.626, "m_tot_mub_per_atom": 0.752, "raw_formation_energy_ev_per_fu": 10.1, "spacegroup": "No. 221", "n_ef_per_ev_cell": 3.3}



No. 12
{"formula": "Y2GeSb", "functional": "GGA-PBEsol", "state": "optimized geometry", "lattice": [[0.000, 3.654, 3.654], [3.654, 0.000, 3.654], [3.654, 3.654, 0.000]], "species": ["Y", "Y", "Ge", "Sb"], "fractional_positions": [[0.250, 0.250, 0.250], [0.750, 0.750, 0.750], [0.000, 0.000, 0.000], [0.500, 0.500, 0.500]], "total_energy_ev_per_atom": -6.494, "m_tot_mub_per_atom": 0.000, "raw_formation_energy_ev_per_fu": -2.8, "spacegroup": "No. 225", "n_ef_per_ev_cell": 4.4}